No. 1
# KErCd2 | Alexandria via LeMat-Bulk | PBE | optimized geometry
# Relative energy among the computed polymorphs = 0.000 eV/atom
# DFT formation energy = -9.5 kJ/mol of atoms
data_KErCd2
_symmetry_space_group_name_H-M 'P 4/m m m'
_symmetry_Int_Tables_number 123
_symmetry_space_group_name_Hall '-P 4 2'
_cell_length_a 3.808
_cell_length_b 3.808
_cell_length_c 8.496
_cell_angle_alpha 90.00
_cell_angle_beta 90.00
_cell_angle_gamma 90.00
loop_
_atom_site_label
_atom_site_fract_x
_atom_site_fract_y
_atom_site_fract_z
K1 0.000 0.000 0.000
Er1 0.000 0.000 0.500
Cd1 0.500 0.500 0.300

---

No. 2
# Th2GaNi4 | Alexandria via LeMat-Bulk | PBE | optimized geometry
# DFT formation energy = -30.2 kJ/mol of atoms
data_Th2GaNi4
_symmetry_space_group_name_H-M 'F m m m'
_symmetry_Int_Tables_number 69
_symmetry_space_group_name_Hall '-F 2 2'
_cell_length_a 7.768
_cell_length_b 7.909
_cell_length_c 8.673
_cell_angle_alpha 90.00
_cell_angle_beta 90.00
_cell_angle_gamma 90.00
loop_
_atom_site_label
_atom_site_fract_x
_atom_site_fract_y
_atom_site_fract_z
Th1 0.250 0.250 0.250
Ga1 0.000 0.000 0.000
Ni1 0.000 0.000 0.270
Ni2 0.173 0.000 0.500

---

No. 3
# KMg6CO8 | Alexandria via LeMat-Bulk | PBE | optimized geometry
# Relative energy among the computed polymorphs = 0.146 eV/atom
# Energy relative to the elements, uncorrected = -1609 meV per atom
data_KMg6CO8
_symmetry_space_group_name_H-M 'P 4/m m m'
_symmetry_Int_Tables_number 123
_symmetry_space_group_name_Hall '-P 4 2'
_cell_length_a 4.347
_cell_length_b 4.347
_cell_length_c 8.842
_cell_angle_alpha 90.00
_cell_angle_beta 90.00
_cell_angle_gamma 90.00
loop_
_atom_site_label
_atom_site_fract_x
_atom_site_fract_y
_atom_site_fract_z
K1 0.000 0.000 0.000
Mg1 0.000 0.000 0.500
Mg2 0.000 0.500 0.257
Mg3 0.500 0.500 0.500
C1 0.500 0.500 0.000
O1 0.000 0.000 0.274
O2 0.000 0.500 0.000
O3 0.000 0.500 0.500
O4 0.500 0.500 0.247

---

No. 4
# TlReHg2 | Alexandria via LeMat-Bulk | PBE | optimized geometry
# Relative energy among the computed polymorphs = 0.376 eV/atom
# DFT formation energy = 94.4 kJ/mol of atoms
data_TlReHg2
_symmetry_space_group_name_H-M 'P 4/m m m'
_symmetry_Int_Tables_number 123
_symmetry_space_group_name_Hall '-P 4 2'
_cell_length_a 4.226
_cell_length_b 4.226
_cell_length_c 4.583
_cell_angle_alpha 90.00
_cell_angle_beta 90.00
_cell_angle_gamma 90.00
loop_
_atom_site_label
_atom_site_fract_x
_atom_site_fract_y
_atom_site_fract_z
Tl1 0.000 0.000 0.000
Re1 0.500 0.500 0.000
Hg1 0.000 0.500 0.500

---

No. 5
This record from Alexandria via LeMat-Bulk describes an optimized crystal structure of CaCoH3. The functional is PBE.

Geometry as CIF:
```
data_CaCoH3
_symmetry_space_group_name_H-M 'P n m a'
_symmetry_Int_Tables_number 62
_cell_length_a 5.143
_cell_length_b 5.798
_cell_length_c 6.018
_cell_angle_alpha 90.00
_cell_angle_beta 90.00
_cell_angle_gamma 90.00
loop_
_symmetry_equiv_pos_as_xyz
'x,y,z'
'-x,-y,-z'
'-x+1/2,-y,z+1/2'
'x+1/2,y,-z+1/2'
'x+1/2,-y+1/2,-z+1/2'
'-x+1/2,y+1/2,z+1/2'
'-x,y+1/2,-z'
'x,-y+1/2,z'
loop_
_atom_site_label
_atom_site_fract_x
_atom_site_fract_y
_atom_site_fract_z
Ca1 0.000 0.000 0.000
Co1 0.015 0.250 0.437
H1 0.065 0.550 0.377
H2 0.246 0.750 0.744
```

---

No. 6
# PrDy3 | Alexandria via LeMat-Bulk | PBE | optimized geometry
# Relative energy among the computed polymorphs = 0.117 eV/atom
# DFT formation energy = 13.0 kJ/mol of atoms
data_PrDy3
_symmetry_space_group_name_H-M 'F m -3 m'
_symmetry_Int_Tables_number 225
_symmetry_space_group_name_Hall '-F 4 2 3'
_cell_length_a 8.077
_cell_length_b 8.077
_cell_length_c 8.077
_cell_angle_alpha 90.00
_cell_angle_beta 90.00
_cell_angle_gamma 90.00
loop_
_atom_site_label
_atom_site_fract_x
_atom_site_fract_y
_atom_site_fract_z
Pr1 0.000 0.000 0.000
Dy1 0.000 0.000 0.500
Dy2 0.250 0.250 0.250

---

No. 7
# La3TlRu | Alexandria via LeMat-Bulk | PBE | optimized geometry
# Relative energy among the computed polymorphs = 0.203 eV/atom
# DFT formation energy = -17.9 kJ/mol of atoms
data_La3TlRu
_symmetry_space_group_name_H-M 'C 1 2/m 1'
_symmetry_Int_Tables_number 12
_cell_length_a 19.280
_cell_length_b 3.932
_cell_length_c 8.916
_cell_angle_alpha 90.00
_cell_angle_beta 97.64
_cell_angle_gamma 90.00
loop_
_symmetry_equiv_pos_as_xyz
'x,y,z'
'-x,-y,-z'
'-x,y,-z'
'x,-y,z'
'x+1/2,y+1/2,z'
'-x+1/2,-y+1/2,-z'
'-x+1/2,y+1/2,-z'
'x+1/2,-y+1/2,z'
loop_
_atom_site_label
_atom_site_fract_x
_atom_site_fract_y
_atom_site_fract_z
La1 0.015 0.000 0.220
La2 0.158 0.000 0.941
La3 0.188 0.500 0.317
Tl1 0.124 0.000 0.567
Ru1 0.076 0.500 0.056

---

No. 8
# RbCd4Pb2 | Alexandria via LeMat-Bulk | PBE | optimized geometry
# DFT formation energy = -3.8 kJ/mol of atoms
data_RbCd4Pb2
_symmetry_space_group_name_H-M 'C m m m'
_symmetry_Int_Tables_number 65
_symmetry_space_group_name_Hall '-C 2 2'
_cell_length_a 4.824
_cell_length_b 18.300
_cell_length_c 4.789
_cell_angle_alpha 90.00
_cell_angle_beta 90.00
_cell_angle_gamma 90.00
loop_
_atom_site_label
_atom_site_fract_x
_atom_site_fract_y
_atom_site_fract_z
Rb1 0.000 0.000 0.000
Cd1 0.000 0.195 0.500
Cd2 0.000 0.304 0.000
Pb1 0.000 0.407 0.500

---

No. 9
# HoEr2Pt3 | Alexandria via LeMat-Bulk | PBE | optimized geometry
# Relative energy among the computed polymorphs = 0.117 eV/atom
# DFT formation energy = -110.1 kJ/mol of atoms
data_HoEr2Pt3
_symmetry_space_group_name_H-M 'I m m m'
_symmetry_Int_Tables_number 71
_symmetry_space_group_name_Hall '-I 2 2'
_cell_length_a 4.044
_cell_length_b 5.718
_cell_length_c 12.108
_cell_angle_alpha 90.00
_cell_angle_beta 90.00
_cell_angle_gamma 90.00
loop_
_atom_site_label
_atom_site_fract_x
_atom_site_fract_y
_atom_site_fract_z
Ho1 0.000 0.000 0.000
Er1 0.000 0.000 0.334
Pt1 0.000 0.500 0.000
Pt2 0.000 0.500 0.332

---

No. 10
# DySc3Cd | Alexandria via LeMat-Bulk | PBE | optimized geometry
# Relative energy among the computed polymorphs = 0.000 eV/atom
# DFT formation energy = -8.1 kJ/mol of atoms
data_DySc3Cd
_symmetry_space_group_name_H-M 'C 1 2/m 1'
_symmetry_Int_Tables_number 12
_cell_length_a 12.182
_cell_length_b 3.428
_cell_length_c 12.058
_cell_angle_alpha 90.00
_cell_angle_beta 93.65
_cell_angle_gamma 90.00
loop_
_symmetry_equiv_pos_as_xyz
'x,y,z'
'-x,-y,-z'
'-x,y,-z'
'x,-y,z'
'x+1/2,y+1/2,z'
'-x+1/2,-y+1/2,-z'
'-x+1/2,y+1/2,-z'
'x+1/2,-y+1/2,z'
loop_
_atom_site_label
_atom_site_fract_x
_atom_site_fract_y
_atom_site_fract_z
Dy1 0.239 0.000 0.263
Sc1 0.031 0.000 0.683
Sc2 0.132 0.500 0.481
Sc3 0.150 0.000 0.942
Cd1 0.056 0.500 0.124

---

No. 11
# CdSBr2 | Alexandria via LeMat-Bulk | PBE | optimized geometry
# Relative energy among the computed polymorphs = 0.025 eV/atom
# Energy relative to the elements, uncorrected = -516 meV per atom
data_CdSBr2
_symmetry_space_group_name_H-M 'P -1'
_symmetry_Int_Tables_number 2
_cell_length_a 3.831
_cell_length_b 6.918
_cell_length_c 10.415
_cell_angle_alpha 108.58
_cell_angle_beta 90.65
_cell_angle_gamma 90.98
loop_
_symmetry_equiv_pos_as_xyz
'x,y,z'
'-x,-y,-z'
loop_
_atom_site_label
_atom_site_fract_x
_atom_site_fract_y
_atom_site_fract_z
Cd1 0.246 0.475 0.329
S1 0.211 0.003 0.054
Br1 0.253 0.404 0.807
Br2 0.262 0.761 0.588

---

No. 12
# Tl2CoIr | Alexandria via LeMat-Bulk | PBE | optimized geometry
# Relative energy among the computed polymorphs = 0.426 eV/atom
# DFT formation energy = 80.9 kJ/mol of atoms
data_Tl2CoIr
_symmetry_space_group_name_H-M 'F -4 3 m'
_symmetry_Int_Tables_number 216
_symmetry_space_group_name_Hall 'F -4 2 3'
_cell_length_a 6.720
_cell_length_b 6.720
_cell_length_c 6.720
_cell_angle_alpha 90.00
_cell_angle_beta 90.00
_cell_angle_gamma 90.00
loop_
_atom_site_label
_atom_site_fract_x
_atom_site_fract_y
_atom_site_fract_z
Tl1 0.000 0.000 0.000
Tl2 0.250 0.250 0.250
Co1 0.000 0.000 0.500
Ir1 0.250 0.250 0.750

---

Number 1: E_tot -7.88 eV for the cell shown. Number 2: E_tot -172.74 eV for the cell shown. Number 3: E_tot -85.29 eV for the cell shown. Number 4: E_tot -11.51 eV for the cell shown. Number 5: E_tot -79.97 eV for the cell shown. Number 6: E_tot -72.20 eV for the cell shown. Number 7: E_tot -109.41 eV for the cell shown. Number 8: E_tot -24.64 eV for the cell shown. Number 9: E_tot -77.35 eV for the cell shown. Number 10: E_tot -99.73 eV for the cell shown. Number 11: E_tot -20.91 eV for the cell shown. Number 12: E_tot -69.38 eV for the cell shown.